No. 1
## LaTmSc (PBE)

Data for a geometry-optimized LaTmSc structure.

Output
Total DFT energy (no corrections) (eV/atom): -5.152
Fermi-level density of states (states/eV/cell): 5.34
Excess energy over the best structure of this formula in the dataset (meV/atom): 38.8

a = 5.5621 Å, b = 5.5621 Å, c = 3.4091 Å
α = 90.00°, β = 90.00°, γ = 120.00°
Space group P3m1 (No. 156)
Inequivalent atoms, fractional coordinates:
La  0.0000  0.0000  0.0000
Tm  0.3333  0.6667  0.5005
Sc  0.6667  0.3333  0.4990

No. 2
## La7Tm2Sc2 (PBE)

Data for a geometry-optimized La7Tm2Sc2 structure.

Output
Total DFT energy (no corrections) (eV/atom): -4.975
Fermi-level density of states (states/eV/cell): 34.42
Excess energy over the best structure of this formula in the dataset (meV/atom): 0.0

a = 8.445 Å, b = 10.936 Å, c = 8.312 Å
α = 90.00°, β = 101.99°, γ = 90.00°
Space group C2/m (No. 12)
Inequivalent atoms, fractional coordinates:
La  0.000  0.000  0.000
La  0.204  0.000  0.482
La  0.208  0.279  0.183
Tm  0.072  0.500  0.818
Sc  0.000  0.291  0.500

No. 3
## La8Tm5Sc (PBE)

Data for a geometry-optimized La8Tm5Sc structure.

Output
Total DFT energy (no corrections) (eV/atom): -4.706
Fermi-level density of states (states/eV/cell): 42.04

a = 13.089 Å, b = 11.066 Å, c = 9.279 Å
α = 90.00°, β = 134.54°, γ = 90.00°
Space group C2 (No. 5)
Inequivalent atoms, fractional coordinates:
La  0.047  0.000  0.333
La  0.055  0.566  0.335
La  0.151  0.289  0.761
La  0.194  0.107  0.129
Tm  0.000  0.775  0.000
Tm  0.193  0.475  0.137
Tm  0.194  0.285  0.430
Sc  0.000  0.785  0.500

No. 4
## LaTm6Sc (PBE)

Data for a geometry-optimized LaTm6Sc structure.

Output
Total DFT energy (no corrections) (eV/atom): -4.715
Fermi-level density of states (states/eV/cell): 11.37

a = 6.996 Å, b = 6.996 Å, c = 4.918 Å
α = 90.00°, β = 90.00°, γ = 90.00°
Space group P4/mmm (No. 123)
Inequivalent atoms, fractional coordinates:
La  0.000  0.000  0.000
Tm  0.000  0.500  0.000
Tm  0.256  0.256  0.500
Sc  0.500  0.500  0.000

No. 5
## LaTm2Sc3 (PBE)

Data for a geometry-optimized LaTm2Sc3 structure.

Output
Total DFT energy (no corrections) (eV/atom): -5.414
Fermi-level density of states (states/eV/cell): 36.57
Excess energy over the best structure of this formula in the dataset (meV/atom): 0.0

a = 5.907 Å, b = 10.236 Å, c = 11.319 Å
α = 90.00°, β = 99.93°, γ = 90.00°
Space group C2/c (No. 15)
Inequivalent atoms, fractional coordinates:
La  0.000  0.082  0.250
Tm  0.000  0.251  0.750
Tm  0.250  0.250  0.500
Sc  0.000  0.419  0.250
Sc  0.244  0.417  0.999

No. 6
## La6Tm4Sc (PBE)

Data for a geometry-optimized La6Tm4Sc structure.

Output
Total DFT energy (no corrections) (eV/atom): -4.774
Fermi-level density of states (states/eV/cell): 72.47

a = 5.815 Å, b = 9.789 Å, c = 26.160 Å
α = 90.00°, β = 90.00°, γ = 90.00°
Space group Cmcm (No. 63)
Inequivalent atoms, fractional coordinates:
La  0.000  0.000  0.000
La  0.000  0.029  0.250
La  0.000  0.315  0.600
La  0.000  0.358  0.183
Tm  0.000  0.024  0.125
Tm  0.000  0.341  0.046
Sc  0.000  0.308  0.750

No. 7
## La2TmSc (PBE)

Data for a geometry-optimized La2TmSc structure.

Output
Total DFT energy (no corrections) (eV/atom): -5.117
Fermi-level density of states (states/eV/cell): 5.72
Excess energy over the best structure of this formula in the dataset (meV/atom): 5.6

a = 5.216 Å, b = 5.216 Å, c = 4.687 Å
α = 90.00°, β = 90.00°, γ = 90.00°
Space group P4/mmm (No. 123)
Inequivalent atoms, fractional coordinates:
La  0.000  0.500  0.000
Tm  0.000  0.000  0.500
Sc  0.500  0.500  0.500

No. 8
## La2TmSc (PBE)

Data for a geometry-optimized La2TmSc structure.

Output
Total DFT energy (no corrections) (eV/atom): -5.094
Fermi-level density of states (states/eV/cell): 25.85
Excess energy over the best structure of this formula in the dataset (meV/atom): 28.7

a = 8.017 Å, b = 8.017 Å, c = 8.017 Å
α = 90.00°, β = 90.00°, γ = 90.00°
Space group Fm-3m (No. 225)
Inequivalent atoms, fractional coordinates:
La  0.250  0.250  0.250
Tm  0.000  0.000  0.000
Sc  0.000  0.000  0.500

Number 1: ΔH_f (0 K) 0.091 eV/atom. Number 2: ΔH_f (0 K) 0.125 eV/atom. Number 3: ΔH_f (0 K) 0.159 eV/atom. Number 4: ΔH_f (0 K) 0.046 eV/atom. Number 5: ΔH_f (0 K) 0.063 eV/atom. Number 6: ΔH_f (0 K) 0.116 eV/atom. Number 7: ΔH_f (0 K) 0.048 eV/atom. Number 8: ΔH_f (0 K) 0.071 eV/atom.